{
  "formula": "PuTl2I8",
  "functional": "PBE",
  "state": "relaxed",
  "lattice_angstrom": [[7.9343, -6.3214, 0.0000], [7.9343, 6.3214, 0.0000], [-2.3991, 0.0000, 6.9852]],
  "species": ["Pu", "Tl", "Tl", "I", "I", "I", "I", "I", "I", "I", "I"],
  "fractional_positions": [[0.0000, 0.0000, 0.0000], [0.2184, 0.2184, 0.5300], [0.7816, 0.7816, 0.4700], [0.0960, 0.7581, 0.7022], [0.1783, 0.1783, 0.9350], [0.2419, 0.9040, 0.2978], [0.4130, 0.4130, 0.5142], [0.5870, 0.5870, 0.4858], [0.7581, 0.0960, 0.7022], [0.8217, 0.8217, 0.0650], [0.9040, 0.2419, 0.2978]],
  "raw_formation_energy_mev_per_atom": -578,
  "space_group": "C2/m, No. 12",
  "crystal_system": "monoclinic",
  "dos_ef_per_ev_atom": 0.75,
  "m_tot_mub_per_cell": 3.999,
  "e_tot_ev_per_atom": -3.44
}

{
  "formula": "Hg3MoSe",
  "functional": "PBE",
  "state": "relaxed",
  "lattice_angstrom": [[5.4759, 0.0000, 0.0000], [0.0000, 5.4759, 0.0000], [0.0000, 0.0000, 5.4759]],
  "species": ["Hg", "Hg", "Hg", "Mo", "Se"],
  "fractional_positions": [[0.0000, 0.0000, 0.5000], [0.0000, 0.5000, 0.0000], [0.5000, 0.0000, 0.0000], [0.5000, 0.5000, 0.5000], [0.0000, 0.0000, 0.0000]],
  "raw_formation_energy_mev_per_atom": 1163,
  "space_group": "Pm-3m, No. 221",
  "de_polymorph_kcal_per_mol_atoms": 4.07,
  "crystal_system": "cubic",
  "dos_ef_per_ev_atom": 0.42,
  "m_tot_mub_per_cell": 5.282,
  "e_tot_ev_per_atom": -1.88
}

{
  "formula": "La6CuAu5",
  "functional": "PBE",
  "state": "relaxed",
  "lattice_angstrom": [[-2.6778, 3.7413, 8.0213], [2.6778, -3.7413, 8.0213], [2.6778, 3.7413, -8.0213]],
  "species": ["La", "La", "La", "La", "La", "La", "Cu", "Au", "Au", "Au", "Au", "Au"],
  "fractional_positions": [[0.0829, 0.3346, 0.7483], [0.2468, 0.0000, 0.2468], [0.4138, 0.6654, 0.7483], [0.5862, 0.3346, 0.2517], [0.7532, 0.0000, 0.7532], [0.9171, 0.6654, 0.2517], [0.0000, 0.5000, 0.5000], [0.1638, 0.1638, 0.0000], [0.3328, 0.8328, 0.5000], [0.5000, 0.5000, 0.0000], [0.6672, 0.1672, 0.5000], [0.8362, 0.8362, 0.0000]],
  "space_group": "Immm, No. 71",
  "crystal_system": "orthorhombic",
  "ef_ev_per_atom": -0.6711,
  "dos_ef_per_ev_atom": 0.86,
  "m_tot_mub_per_cell": 0.000,
  "e_tot_ev_per_atom": -4.84
}

Which formula does entry 1 have?
PuTl2I8